## one
Computed, not measured: a relaxed structure of LiCuTe2I at the GGA-PBE level of DFT.

Unit cell a=5.0693 b=5.0693 c=5.5321 alpha=90.00 beta=90.00 gamma=90.00
Fractional positions:
1 I 0.0000 0.0000 0.5000
2 Te 0.5000 0.0000 0.0000
3 Te 0.0000 0.5000 0.0000
4 Cu 0.5000 0.5000 0.5000
5 Li 0.0000 0.0000 0.0000

Theoretical density (g/cm3): 5.29
M_tot (μB per formula unit): 0.000


## two
Computed, not measured: a relaxed structure of LiCuTe2I at the GGA-PBE level of DFT.

Unit cell a=4.9052 b=4.9052 c=8.0086 alpha=90.00 beta=90.00 gamma=90.00
Fractional positions:
1 I 0.0000 0.0000 0.5000
2 Cu 0.0000 0.0000 0.0000
3 Li 0.5000 0.5000 0.5000
4 Te 0.0000 0.5000 0.0000
5 Te 0.5000 0.0000 0.0000

Theoretical density (g/cm3): 3.90
M_tot (μB per formula unit): 0.000


Most stable of them? two.


## one
Computed, not measured: a relaxed structure of LiCuTeI2 at the GGA-PBE level of DFT.

Unit cell a=5.6046 b=5.6046 c=5.1458 alpha=90.00 beta=90.00 gamma=90.00
Fractional positions:
1 I 0.0000 0.5000 0.0000
2 I 0.5000 0.0000 0.0000
3 Te 0.0000 0.0000 0.5000
4 Li 0.5000 0.5000 0.5000
5 Cu 0.0000 0.0000 0.0000

Theoretical density (g/cm3): 4.64
M_tot (μB per formula unit): 0.000


## two
Computed, not measured: a relaxed structure of LiCuTeI2 at the GGA-PBE level of DFT.

Unit cell a=6.5028 b=4.7681 c=6.5028 alpha=90.00 beta=90.00 gamma=90.00
Fractional positions:
1 Te 0.0000 0.0000 0.0000
2 Li 0.5000 0.5000 0.5000
3 I 0.0000 0.0000 0.5000
4 I 0.5000 0.0000 0.0000
5 Cu 0.0000 0.5000 0.0000

Theoretical density (g/cm3): 3.72
M_tot (μB per formula unit): 0.000


Most stable of them? one.